# 1
First-principles (PBE) data for crystalline Ca2HfSn4 at its relaxed geometry, as listed in the Alexandria database.

The space group is I4/mmm (No. 139) and the conventional cell measures 5.4662, 5.4662 and 15.7383 Å, with angles of 90.00, 90.00 and 90.00 degrees. The asymmetric unit holds Ca at (0.0000, 0.0000, 0.1230), Hf at (0.0000, 0.0000, 0.5000), Sn at (0.0000, 0.0000, 0.3206) and Sn at (0.0000, 0.5000, 0.0000).

Its formation energy is -0.97 eV per formula unit.



# 2
First-principles (PBE) data for crystalline CaHf2Sn at its relaxed geometry, as listed in the Alexandria database.

The space group is I-42d (No. 122) and the conventional cell measures 8.4521, 8.4521 and 6.0198 Å, with angles of 90.00, 90.00 and 90.00 degrees. The asymmetric unit holds Ca at (0.0000, 0.0000, 0.0000), Hf at (0.2179, 0.2500, 0.6250) and Sn at (0.0000, 0.0000, 0.5000).

Its formation energy is 1.81 eV per formula unit.



# 3
First-principles (PBE) data for crystalline Ca3HfSn at its relaxed geometry, as listed in the Alexandria database.

The space group is Pm-3m (No. 221) and the conventional cell measures 5.6869, 5.6869 and 5.6869 Å, with angles of 90.00, 90.00 and 90.00 degrees. The asymmetric unit holds Ca at (0.0000, 0.0000, 0.5000), Hf at (0.0000, 0.0000, 0.0000) and Sn at (0.5000, 0.5000, 0.5000).

Its formation energy is 4.43 eV per formula unit. The energy above the most stable polymorph in this dataset comes out at 1.44 eV/f.u.



# 4
First-principles (PBE) data for crystalline CaHf2Sn2 at its relaxed geometry, as listed in the Alexandria database.

The space group is P4/mbm (No. 127) and the conventional cell measures 8.7197, 8.7197 and 3.2397 Å, with angles of 90.00, 90.00 and 90.00 degrees. The asymmetric unit holds Ca at (0.0000, 0.0000, 0.0000), Hf at (0.1196, 0.3804, 0.0000) and Sn at (0.1739, 0.6739, 0.5000).

Its formation energy is -0.96 eV per formula unit. The energy above the most stable polymorph in this dataset comes out at 0.15 eV/f.u.



# 5
First-principles (PBE) data for crystalline Ca3HfSn at its relaxed geometry, as listed in the Alexandria database.

The space group is Pm-3m (No. 221) and the conventional cell measures 5.8660, 5.8660 and 5.8660 Å, with angles of 90.00, 90.00 and 90.00 degrees. The asymmetric unit holds Ca at (0.0000, 0.0000, 0.5000), Hf at (0.5000, 0.5000, 0.5000) and Sn at (0.0000, 0.0000, 0.0000).

Its formation energy is 2.98 eV per formula unit. The energy above the most stable polymorph in this dataset comes out at 0.00 eV/f.u.



# 6
First-principles (PBE) data for crystalline CaHf2Sn2 at its relaxed geometry, as listed in the Alexandria database.

The space group is I4/mmm (No. 139) and the conventional cell measures 4.7172, 4.7172 and 12.7533 Å, with angles of 90.00, 90.00 and 90.00 degrees. The asymmetric unit holds Ca at (0.0000, 0.0000, 0.0000), Hf at (0.0000, 0.0000, 0.3884) and Sn at (0.0000, 0.5000, 0.2500).

Its formation energy is 0.92 eV per formula unit. The energy above the most stable polymorph in this dataset comes out at 2.02 eV/f.u.



# 7
First-principles (PBE) data for crystalline CaHfTaSn2 at its relaxed geometry, as listed in the Alexandria database.

The space group is P4/mmm (No. 123) and the conventional cell measures 5.3814, 5.3814 and 5.3293 Å, with angles of 90.00, 90.00 and 90.00 degrees. The asymmetric unit holds Ca at (0.0000, 0.0000, 0.0000), Hf at (0.0000, 0.0000, 0.5000), Ta at (0.5000, 0.5000, 0.0000) and Sn at (0.0000, 0.5000, 0.5000).

Its formation energy is 7.33 eV per formula unit.



# 8
First-principles (PBE) data for crystalline CaHfTi2Sn at its relaxed geometry, as listed in the Alexandria database.

The space group is P4/mmm (No. 123) and the conventional cell measures 5.1539, 5.1539 and 5.3708 Å, with angles of 90.00, 90.00 and 90.00 degrees. The asymmetric unit holds Ca at (0.0000, 0.0000, 0.0000), Hf at (0.5000, 0.5000, 0.0000), Ti at (0.0000, 0.5000, 0.5000) and Sn at (0.5000, 0.5000, 0.5000).

Its formation energy is 4.06 eV per formula unit.



# 9
First-principles (PBE) data for crystalline Ca2HfTlSn at its relaxed geometry, as listed in the Alexandria database.

The space group is P4/mmm (No. 123) and the conventional cell measures 5.6843, 5.6843 and 5.4358 Å, with angles of 90.00, 90.00 and 90.00 degrees. The asymmetric unit holds Ca at (0.0000, 0.5000, 0.0000), Hf at (0.0000, 0.0000, 0.5000), Tl at (0.0000, 0.0000, 0.0000) and Sn at (0.5000, 0.5000, 0.5000).

Its formation energy is 2.01 eV per formula unit.



# 10
First-principles (PBE) data for crystalline Ca2YHfSn at its relaxed geometry, as listed in the Alexandria database.

The space group is P4/mmm (No. 123) and the conventional cell measures 5.7699, 5.7699 and 5.2493 Å, with angles of 90.00, 90.00 and 90.00 degrees. The asymmetric unit holds Ca at (0.0000, 0.5000, 0.0000), Y at (0.0000, 0.0000, 0.0000), Hf at (0.0000, 0.0000, 0.5000) and Sn at (0.5000, 0.5000, 0.5000).

Its formation energy is 5.19 eV per formula unit.



# 11
First-principles (PBE) data for crystalline SrCaHf at its relaxed geometry, as listed in the Alexandria database.

The space group is P4/nmm (No. 129, origin choice 2) and the conventional cell measures 4.7715, 4.7715 and 9.5115 Å, with angles of 90.00, 90.00 and 90.00 degrees. The asymmetric unit holds Sr at (0.2500, 0.7500, 0.0000), Ca at (0.2500, 0.2500, 0.3648) and Hf at (0.2500, 0.2500, 0.7219).

Its formation energy is 2.71 eV per formula unit. The energy above the most stable polymorph in this dataset comes out at 1.48 eV/f.u.



# 12
First-principles (PBE) data for crystalline SrCaHf at its relaxed geometry, as listed in the Alexandria database.

The space group is Amm2 (No. 38) and the conventional cell measures 4.9853, 6.0310 and 14.5363 Å, with angles of 90.00, 90.00 and 90.00 degrees. The asymmetric unit holds Sr at (0.0000, 0.0000, 0.0000), Sr at (0.0000, 0.0000, 0.3580), Ca at (0.5000, 0.0000, 0.1640), Ca at (0.5000, 0.0000, 0.7940), Hf at (0.0000, 0.0000, 0.6332) and Hf at (0.5000, 0.0000, 0.5472).

Its formation energy is 1.46 eV per formula unit. The energy above the most stable polymorph in this dataset comes out at 0.23 eV/f.u.